CdAuSe2 meta-GGA SCAN single point on PBEsol structure; symmetry = I-4m2; size of the total moment = 0.00 Bohr magnetons per cell; raw formation energy = 0.04 eV/atom
1.0
-1.880 1.880 6.188
1.880 -1.880 6.188
1.880 1.880 -6.188
Cd Au Se
1 1 2
direct
0.000 0.000 0.000 Cd
0.750 0.250 0.500 Au
0.250 0.750 0.500 Se
0.500 0.500 0.000 Se


CdAuSe meta-GGA SCAN single point on PBEsol structure; symmetry = F-43m; size of the total moment = 0.00 Bohr magnetons per cell; raw formation energy = 0.03 eV/atom
1.0
0.000 3.228 3.228
3.228 0.000 3.228
3.228 3.228 0.000
Cd Au Se
1 1 1
direct
0.000 0.000 0.000 Cd
0.750 0.750 0.750 Au
0.250 0.250 0.250 Se